1.
# Li2MgN2

A relaxed structure of Li2MgN2 (PBE, Alexandria via LeMat-Bulk).

Structure (POSCAR):
```
Li2MgN2
1.0
-0.038 1.217 -5.138
-5.031 -1.570 -0.335
-1.050 3.200 0.765
Mg Li N
2 4 4
direct
0.000 0.000 0.000
0.500 0.500 0.000
0.149 0.649 0.500
0.649 0.851 0.500
0.851 0.351 0.500
0.351 0.149 0.500
0.400 0.900 0.000
0.900 0.600 0.000
0.600 0.100 0.000
0.100 0.400 0.000
```

Output
**Crystal system**: tetragonal
**Volume**: 96.30 Å³/cell
**N(E_F)**: 3.3 states/eV/cell
**Raw formation energy**: -162 meV per atom
**Space group**: P4/mbm (127)

2.
# LiMgN

A relaxed structure of LiMgN (PBE, Alexandria via LeMat-Bulk).

Structure (POSCAR):
```
LiMgN
1.0
-0.203 0.002 -3.510
1.911 -4.658 -0.113
-6.655 -2.740 0.383
Li Mg N
4 4 4
direct
0.750 0.471 0.097
0.250 0.971 0.403
0.250 0.529 0.903
0.750 0.029 0.597
0.750 0.979 0.144
0.250 0.479 0.356
0.250 0.021 0.856
0.750 0.521 0.644
0.750 0.730 0.380
0.250 0.230 0.120
0.250 0.270 0.620
0.750 0.770 0.880
```

Output
**Crystal system**: orthorhombic
**Volume**: 127.59 Å³/cell
**N(E_F)**: 0.0 states/eV/cell
**Raw formation energy**: -641 meV per atom
**Space group**: Pnma (62)

3.
# LiMg2N

A relaxed structure of LiMg2N (PBE, Alexandria via LeMat-Bulk).

Structure (POSCAR):
```
LiMg2N
1.0
-2.699 -5.503 -1.750
1.909 0.973 -6.004
3.444 -4.424 -3.006
Mg Li N
4 2 2
direct
0.819 0.125 0.250
0.931 0.625 0.250
0.375 0.181 0.750
0.875 0.069 0.750
0.500 0.500 0.000
0.250 0.750 0.500
0.000 0.000 0.000
0.750 0.250 0.500
```

Output
**Crystal system**: tetragonal
**Volume**: 182.42 Å³/cell
**N(E_F)**: 4.9 states/eV/cell
**Raw formation energy**: -116 meV per atom
**Space group**: I-42d (122)

4.
# LiMgN

A relaxed structure of LiMgN (PBE, Alexandria via LeMat-Bulk).

Structure (POSCAR):
```
LiMgN
1.0
-0.523 2.972 0.848
-1.340 -0.993 2.654
3.686 -0.909 -0.331
Mg N Li
1 1 1
direct
0.291 0.291 0.581
0.935 0.935 0.871
0.624 0.624 0.248
```

Output
**Crystal system**: tetragonal
**Volume**: 30.45 Å³/cell
**Raw formation energy**: -22 meV per atom
**Space group**: I4mm (107)

Q: The highest raw formation energy belongs to which entry?
A: number 4